Entry one
# Hf2BiB PBE optimized geometry
# Magnetization, μB per cell: 3.1
data_Hf2BiB
_space_group_name_H-M_alt 'F -4 3 m'
_space_group_IT_number 216
_space_group_name_Hall 'F -4 2 3'
_cell_length_a 6.8712
_cell_length_b 6.8712
_cell_length_c 6.8712
_cell_angle_alpha 90.00
_cell_angle_beta 90.00
_cell_angle_gamma 90.00
loop_
_atom_site_label
_atom_site_type_symbol
_atom_site_fract_x
_atom_site_fract_y
_atom_site_fract_z
_atom_site_occupancy
Hf1 Hf 0.0000 0.0000 0.0000 1
Hf2 Hf 0.2500 0.2500 0.2500 1
Bi1 Bi 0.0000 0.0000 0.5000 1
B1 B 0.2500 0.2500 0.7500 1

=====

Entry two
# Hf2BiB PBE optimized geometry
# Magnetization, μB per cell: 0.0
data_Hf2BiB
_space_group_name_H-M_alt 'R -3 m'
_space_group_IT_number 166
_space_group_name_Hall '-R 3 2"'
_cell_length_a 3.5361
_cell_length_b 3.5361
_cell_length_c 21.8248
_cell_angle_alpha 90.00
_cell_angle_beta 90.00
_cell_angle_gamma 120.00
loop_
_atom_site_label
_atom_site_type_symbol
_atom_site_fract_x
_atom_site_fract_y
_atom_site_fract_z
_atom_site_occupancy
Hf1 Hf 0.0000 0.0000 0.2221 1
Bi1 Bi 0.0000 0.0000 0.0000 1
B1 B 0.0000 0.0000 0.5000 1

=====

Entry three
# Hf2BiB PBE optimized geometry
# Magnetization, μB per cell: 0.0
data_Hf2BiB
_space_group_name_H-M_alt 'I -4 2 d'
_space_group_IT_number 122
_space_group_name_Hall 'I -4 2bw'
_cell_length_a 7.1335
_cell_length_b 7.1335
_cell_length_c 6.3852
_cell_angle_alpha 90.00
_cell_angle_beta 90.00
_cell_angle_gamma 90.00
loop_
_atom_site_label
_atom_site_type_symbol
_atom_site_fract_x
_atom_site_fract_y
_atom_site_fract_z
_atom_site_occupancy
Hf1 Hf 0.1712 0.7500 0.1250 1
Bi1 Bi 0.0000 0.0000 0.5000 1
B1 B 0.0000 0.0000 0.0000 1

=====

Which one sits at the top of the stability order? entry two does.

=====

Entry one
# HfBi3B PBE optimized geometry
# Magnetization, μB per cell: 0.0
data_HfBi3B
_space_group_name_H-M_alt 'P m -3 m'
_space_group_IT_number 221
_space_group_name_Hall '-P 4 2 3'
_cell_length_a 5.0196
_cell_length_b 5.0196
_cell_length_c 5.0196
_cell_angle_alpha 90.00
_cell_angle_beta 90.00
_cell_angle_gamma 90.00
loop_
_atom_site_label
_atom_site_type_symbol
_atom_site_fract_x
_atom_site_fract_y
_atom_site_fract_z
_atom_site_occupancy
Hf1 Hf 0.0000 0.0000 0.0000 1
Bi1 Bi 0.0000 0.5000 0.5000 1
B1 B 0.5000 0.5000 0.5000 1

=====

Entry two
# HfBi3B PBE optimized geometry
# Magnetization, μB per cell: 0.0
data_HfBi3B
_space_group_name_H-M_alt 'P m -3 m'
_space_group_IT_number 221
_space_group_name_Hall '-P 4 2 3'
_cell_length_a 5.6200
_cell_length_b 5.6200
_cell_length_c 5.6200
_cell_angle_alpha 90.00
_cell_angle_beta 90.00
_cell_angle_gamma 90.00
loop_
_atom_site_label
_atom_site_type_symbol
_atom_site_fract_x
_atom_site_fract_y
_atom_site_fract_z
_atom_site_occupancy
Hf1 Hf 0.0000 0.0000 0.0000 1
Bi1 Bi 0.0000 0.0000 0.5000 1
B1 B 0.5000 0.5000 0.5000 1

=====

Which one sits at the top of the stability order? entry one does.